A plane-wave DFT calculation with PBE-GGA was carried out for a geometry-optimized Th4Pd2Rh3 structure.

Output
- Fermi-level density of states (states/eV/cell) = 12.5
- energy relative to the elements (kJ/mol of atoms) = -76.8
- volume (Å³ per atom) = 23.04
- SG = C2/c (15)

Unit cell a=8.559 b=8.559 c=5.802 alpha=93.63 beta=93.63 gamma=78.27
Sites, in units of the cell vectors:
Th (0.021, 0.784, 0.980)
Th (0.216, 0.979, 0.520)
Th (0.262, 0.469, 0.360)
Th (0.469, 0.262, 0.860)
Th (0.531, 0.738, 0.140)
Th (0.738, 0.531, 0.640)
Th (0.784, 0.021, 0.480)
Th (0.979, 0.216, 0.020)
Pd (0.137, 0.455, 0.838)
Pd (0.455, 0.137, 0.338)
Pd (0.545, 0.863, 0.662)
Pd (0.863, 0.545, 0.162)
Rh (0.017, 0.736, 0.487)
Rh (0.264, 0.983, 0.013)
Rh (0.361, 0.639, 0.750)
Rh (0.639, 0.361, 0.250)
Rh (0.736, 0.017, 0.987)
Rh (0.983, 0.264, 0.513)